No. 1
Material: Nd6SiPd2Br3
Method: DFT, PBE
State: optimized geometry

## Properties
raw formation energy: -22.5 kcal/mol of atoms
density: 6.44 Mg/m³
D(E_F): 8.204 states/eV/cell

a b c (Å): 7.360 7.360 7.796
angles (deg): 99.08 99.08 119.97
Positions (direct):
Nd (0.928, 0.594, 0.786)
Nd (0.736, 0.736, 0.212)
Nd (0.072, 0.406, 0.214)
Nd (0.594, 0.928, 0.786)
Nd (0.264, 0.264, 0.788)
Nd (0.406, 0.072, 0.214)
Si (0.000, 0.000, 0.000)
Pd (0.332, 0.668, 0.000)
Pd (0.668, 0.332, 0.000)
Br (0.160, 0.840, 0.500)
Br (0.840, 0.160, 0.500)
Br (0.500, 0.500, 0.500)

***

No. 2
Material: Cs4Tb3HoTe8
Method: DFT, PBE
State: optimized geometry

## Properties
raw formation energy: -32.0 kcal/mol of atoms
density: 5.66 Mg/m³

a b c (Å): 9.125 10.363 9.123
angles (deg): 116.13 120.01 90.00
Positions (direct):
Cs (0.500, 0.000, 0.000)
Cs (0.500, 0.000, 0.500)
Cs (0.000, 0.000, 0.000)
Cs (0.000, 0.000, 0.500)
Tb (0.500, 0.500, 0.000)
Tb (0.500, 0.500, 0.500)
Tb (0.000, 0.500, 0.500)
Ho (0.000, 0.500, 0.000)
Te (0.229, 0.690, 0.961)
Te (0.229, 0.690, 0.458)
Te (0.270, 0.310, 0.540)
Te (0.732, 0.690, 0.961)
Te (0.268, 0.310, 0.039)
Te (0.730, 0.690, 0.460)
Te (0.771, 0.310, 0.542)
Te (0.771, 0.310, 0.039)

***

No. 3
Material: TiH2F4
Method: DFT, PBE
State: optimized geometry

## Properties
density: 2.03 Mg/m³
uncorrected energy: -5.461 eV per atom
D(E_F): 0.000 states/eV/cell

a b c (Å): 3.098 5.762 6.070
angles (deg): 99.85 103.45 80.10
Positions (direct):
Ti (0.000, 0.000, 0.000)
H (0.032, 0.546, 0.471)
H (0.968, 0.454, 0.529)
F (0.162, 0.848, 0.247)
F (0.838, 0.152, 0.753)
F (0.506, 0.805, 0.876)
F (0.494, 0.195, 0.124)

***

No. 4
Material: LiZrRu
Method: DFT, PBE
State: optimized geometry

## Properties
density: 6.76 Mg/m³
E above lowest polymorph: 71 meV/atom
D(E_F): 8.584 states/eV/cell

a b c (Å): 4.388 5.535 8.055
angles (deg): 90.00 90.00 90.00
Positions (direct):
Li (0.250, 0.250, 0.250)
Li (0.250, 0.750, 0.750)
Li (0.750, 0.750, 0.750)
Li (0.750, 0.250, 0.250)
Zr (0.000, 0.250, 0.887)
Zr (0.000, 0.750, 0.113)
Zr (0.500, 0.750, 0.387)
Zr (0.500, 0.250, 0.613)
Ru (0.000, 0.000, 0.500)
Ru (0.000, 0.500, 0.500)
Ru (0.500, 0.500, 0.000)
Ru (0.500, 0.000, 0.000)

***

No. 5
Material: TcAgH3
Method: DFT, PBE
State: optimized geometry

## Properties
density: 7.86 Mg/m³
E above lowest polymorph: 0 meV/atom
D(E_F): 1.674 states/eV/cell

a b c (Å): 3.533 3.533 3.533
angles (deg): 90.00 90.00 90.00
Last column: magnetic moment on the atom in μB.
Positions (direct):
H (0.000, 0.500, 0.000)  -0.01
H (0.000, 0.000, 0.500)  -0.01
H (0.500, 0.000, 0.000)  -0.01
Tc (0.000, 0.000, 0.000)  0.94
Ag (0.500, 0.500, 0.500)  0.06

***

No. 6
Material: Pr6As2Se3S
Method: DFT, PBE
State: optimized geometry

## Properties
raw formation energy: -41.5 kcal/mol of atoms
density: 6.40 Mg/m³
D(E_F): 4.847 states/eV/cell

a b c (Å): 4.244 8.546 9.554
angles (deg): 103.59 102.83 90.00
Positions (direct):
Pr (0.338, 0.913, 0.677)
Pr (0.669, 0.578, 0.338)
Pr (0.662, 0.087, 0.323)
Pr (0.002, 0.238, 0.004)
Pr (0.998, 0.762, 0.996)
Pr (0.331, 0.422, 0.662)
As (0.834, 0.668, 0.668)
As (0.166, 0.332, 0.332)
Se (0.500, 0.500, 0.000)
Se (0.832, 0.166, 0.664)
Se (0.168, 0.834, 0.336)
S (0.500, 0.000, 0.000)